No. 1
DFT (GGA-PBE) results for a relaxed structure of NdThSn.

Properties
- Energy of formation: -0.272 eV per atom
- Spin magnetization: 0.00 μB per formula unit
- Crystal system: tetragonal
- Energy relative to the lowest polymorph listed for this composition: 0.79 eV per formula unit
- Density: 8.68 g/cm³

Lattice parameters (Å, degrees): 3.8452 3.8452 12.8077 90.00 90.00 90.00
With the nearest neighbours (Å) after each atom.
Space group I4mm (No. 107)
Inequivalent atoms, fractional coordinates:
Nd 0.0000 0.0000 0.0000  4 Sn 3.34, 4 Th 3.68
Th 0.0000 0.0000 0.3064  4 Sn 3.37, 4 Nd 3.68
Sn 0.0000 0.0000 0.6511  4 Nd 3.34, 4 Th 3.37

=====

No. 2
DFT (GGA-PBE) results for a relaxed structure of YGaRe3.

Properties
- Energy of formation: 1.300 eV per atom
- Spin magnetization: 0.13 μB per formula unit
- Crystal system: cubic
- Energy relative to the lowest polymorph listed for this composition: 0.00 eV per formula unit
- Density: 12.02 g/cm³

Lattice parameters (Å, degrees): 4.6270 4.6270 4.6270 90.00 90.00 90.00
With the nearest neighbours (Å) after each atom.
Space group Pm-3m (No. 221)
Inequivalent atoms, fractional coordinates:
Y 0.0000 0.0000 0.0000  12 Re 3.27
Ga 0.5000 0.5000 0.5000  6 Re 2.31
Re 0.0000 0.5000 0.5000  2 Ga 2.31

=====

No. 3
DFT (GGA-PBE) results for a relaxed structure of K3RbTe.

Properties
- Spin magnetization: 0.00 μB per formula unit
- Crystal system: cubic
- Energy relative to the lowest polymorph listed for this composition: 3.55 eV per formula unit
- Density: 1.59 g/cm³

Lattice parameters (Å, degrees): 7.0086 7.0086 7.0086 90.00 90.00 90.00
With the nearest neighbours (Å) after each atom.
Space group Pm-3m (No. 221)
Inequivalent atoms, fractional coordinates:
K 0.0000 0.0000 0.5000  2 Rb 3.50
Rb 0.0000 0.0000 0.0000  6 K 3.50
Te 0.5000 0.5000 0.5000  12 K 4.96

=====

No. 4
DFT (GGA-PBE) results for a relaxed structure of Ga4IrOs.

Properties
- Energy of formation: 0.186 eV per atom
- Spin magnetization: 0.00 μB per formula unit
- Crystal system: tetragonal
- Density: 8.30 g/cm³

Lattice parameters (Å, degrees): 8.3807 8.3807 7.5368 90.00 90.00 90.00
With the nearest neighbours (Å) after each atom.
Space group I4_1/amd (No. 141, origin choice 2)
Inequivalent atoms, fractional coordinates:
Ga 0.0000 0.0459 0.1589  1 Ir 2.36, 1 Os 2.49, 1 Ga 2.52
Ir 0.0000 0.2500 0.3750  4 Ga 2.36
Os 0.0000 0.2500 0.8750  8 Ga 2.49-2.74

=====

No. 5
DFT (GGA-PBE) results for a relaxed structure of SiP2Ru.

Properties
- VASP energy: -0.2253 Ha/atom
- Spin magnetization: 0.00 μB per formula unit
- Crystal system: orthorhombic
- Density: 5.55 g/cm³

Lattice parameters (Å, degrees): 3.2956 4.3826 7.9108 90.00 90.00 90.00
With the nearest neighbours (Å) after each atom.
Space group Imm2 (No. 44)
Inequivalent atoms, fractional coordinates:
Si 0.0000 0.0000 0.0000  2 P 2.42, 2 Ru 2.47
P 0.0000 0.0000 0.4324  2 P 2.33, 2 Ru 2.55
P 0.0000 0.5000 0.7248  2 P 2.33, 2 Si 2.42
Ru 0.0000 0.5000 0.2679  2 Si 2.47, 6 P 2.55-2.76

=====

No. 6
DFT (GGA-PBE) results for a relaxed structure of TlOsRh2.

Properties
- Energy of formation: 0.361 eV per atom
- Spin magnetization: 0.00 μB per formula unit
- Crystal system: monoclinic
- Energy relative to the lowest polymorph listed for this composition: 0.56 eV per formula unit
- Density: 15.40 g/cm³

Lattice parameters (Å, degrees): 9.2140 2.8587 4.9874 90.00 99.74 90.00
With the nearest neighbours (Å) after each atom.
Space group Cm (No. 8)
Inequivalent atoms, fractional coordinates:
Tl 0.0000 0.0000 0.0000  7 Rh 2.73-2.90, 2 Tl 2.86, 3 Os 2.94-2.99
Os 0.2416 0.0000 0.6842  5 Rh 2.64-2.71, 2 Os 2.86, 1 Tl 2.94
Rh 0.0038 0.5000 0.5077  3 Os 2.64-2.71, 5 Rh 2.82-2.86, 4 Tl 2.85-2.90
Rh 0.2561 0.5000 0.2436  2 Os 2.64, 3 Tl 2.73-2.85, 5 Rh 2.82-2.86

=====

No. 7
DFT (GGA-PBE) results for a relaxed structure of TlHg2O.

Properties
- Spin magnetization: 0.00 μB per formula unit
- Crystal system: tetragonal
- Energy relative to the lowest polymorph listed for this composition: 0.00 eV per formula unit
- Density: 10.15 g/cm³

Lattice parameters (Å, degrees): 6.8271 6.8271 8.7247 90.00 90.00 90.00
With the nearest neighbours (Å) after each atom.
Space group I-42d (No. 122)
Inequivalent atoms, fractional coordinates:
Tl 0.0000 0.0000 0.0000  4 Hg 3.03
Hg 0.1707 0.2500 0.6250  2 O 2.34
O 0.0000 0.0000 0.5000  4 Hg 2.34

=====

No. 8
DFT (GGA-PBE) results for a relaxed structure of Th2CoP4Ir3.

Properties
- Energy of formation: -1.040 eV per atom
- Spin magnetization: 1.04 μB per formula unit
- Crystal system: tetragonal
- Density: 12.17 g/cm³

Lattice parameters (Å, degrees): 4.2106 4.2106 9.4157 90.00 90.00 90.00
With the nearest neighbours (Å) after each atom.
Space group P-4m2 (No. 115)
Inequivalent atoms, fractional coordinates:
Th 0.0000 0.5000 0.2502  2 Co 3.16, 7 Ir 3.16-3.42, 8 P 3.16-3.18
Co 0.0000 0.0000 0.5000  4 P 2.44
P 0.0000 0.0000 0.0000  4 Ir 2.36
P 0.0000 0.5000 0.6304  3 Ir 2.42-2.44, 2 Co 2.44
P 0.5000 0.5000 0.0000  4 Ir 2.36
Ir 0.0000 0.5000 0.8869  5 P 2.36-2.42
Ir 0.5000 0.5000 0.5000  4 P 2.44

=====

No. 9
DFT (GGA-PBE) results for a relaxed structure of La8Nd5Sc.

Properties
- Energy of formation: 0.228 eV per atom
- Spin magnetization: 0.00 μB per formula unit
- Crystal system: tetragonal
- Density: 6.18 g/cm³

Lattice parameters (Å, degrees): 9.9490 9.9490 10.1969 90.00 90.00 90.00
With the nearest neighbours (Å) after each atom.
Space group I-4 (No. 82)
Inequivalent atoms, fractional coordinates:
La 0.0654 0.3337 0.4137  5 Nd 3.49-3.77, 2 La 3.56-3.66, 1 Sc 3.86
La 0.0789 0.1951 0.7458  1 Sc 3.13, 3 Nd 3.27-3.47
Nd 0.0000 0.0000 0.5000  8 La 3.27-3.50
Nd 0.0985 0.2043 0.0796  8 La 3.41-3.77, 2 Nd 3.58
Sc 0.0000 0.5000 0.7500  4 La 3.13

=====

No. 10
DFT (GGA-PBE) results for a relaxed structure of MnBeN2.

Properties
- VASP energy: -0.2882 Ha/atom
- Spin magnetization: 1.51 μB per formula unit
- Crystal system: tetragonal
- Density: 4.29 g/cm³

Lattice parameters (Å, degrees): 4.1617 4.1617 8.2171 90.00 90.00 90.00
With the nearest neighbours (Å) after each atom.
Space group I-42d (No. 122)
Inequivalent atoms, fractional coordinates:
Mn 0.0000 0.0000 0.0000  4 N 1.83
Be 0.0000 0.0000 0.5000  4 N 1.76
N 0.2364 0.2500 0.6250  2 Be 1.76, 2 Mn 1.83

=====

No. 11
DFT (GGA-PBE) results for a relaxed structure of HPtN2.

Properties
- Spin magnetization: 0.00 μB per formula unit
- Crystal system: trigonal
- Energy relative to the lowest polymorph listed for this composition: 0.00 eV per formula unit
- Density: 9.51 g/cm³

Lattice parameters (Å, degrees): 3.2123 3.2123 13.1359 90.00 90.00 120.00
With the nearest neighbours (Å) after each atom.
Space group R-3m (No. 166, hexagonal axes)
Inequivalent atoms, fractional coordinates:
H 0.0000 0.0000 0.0000  2 N 1.26
Pt 0.0000 0.0000 0.5000  6 N 2.07
N 0.0000 0.0000 0.0959  1 H 1.26

=====

No. 12
DFT (GGA-PBE) results for a relaxed structure of Tm2AlCo.

Properties
- Energy of formation: -0.236 eV per atom
- Spin magnetization: 0.00 μB per formula unit
- Crystal system: orthorhombic
- Energy relative to the lowest polymorph listed for this composition: 0.38 eV per formula unit
- Density: 8.19 g/cm³

Lattice parameters (Å, degrees): 4.2027 7.6104 5.3757 90.00 90.00 90.00
With the nearest neighbours (Å) after each atom.
Space group Imm2 (No. 44)
Inequivalent atoms, fractional coordinates:
Tm 0.0000 0.2191 0.0000  3 Co 2.76-2.84, 3 Al 3.00-3.03
Al 0.0000 0.0000 0.5291  2 Co 2.63
Co 0.0000 0.5000 0.3239  2 Al 2.63, 6 Tm 2.76-2.84

=====

No. 13
DFT (GGA-PBE) results for a relaxed structure of TcRh2Br.

Properties
- Spin magnetization: 0.00 μB per formula unit
- Crystal system: monoclinic
- Energy relative to the lowest polymorph listed for this composition: 1.51 eV per formula unit
- Density: 10.31 g/cm³

Lattice parameters (Å, degrees): 4.6610 2.8707 4.6941 90.00 100.27 90.00
With the nearest neighbours (Å) after each atom.
Space group P2/m (No. 10)
Inequivalent atoms, fractional coordinates:
Tc 0.0000 0.0000 0.0000  4 Br 2.74, 6 Rh 2.75-3.00, 2 Tc 2.87
Rh 0.0000 0.5000 0.5000  6 Rh 2.74-2.87, 4 Tc 2.75, 2 Br 3.00
Rh 0.5000 0.0000 0.5000  6 Rh 2.74-2.87, 4 Br 2.75, 2 Tc 3.00
Br 0.5000 0.5000 0.0000  4 Tc 2.74, 6 Rh 2.75-3.00, 2 Br 2.87